[1]
# ErSnRh, relaxed, DFT PBE-GGA
data_ErSnRh
_symmetry_space_group_name_H-M 'P 1'
_symmetry_Int_Tables_number 1
_symmetry_space_group_name_Hall 'P 1'
_cell_length_a 3.385
_cell_length_b 4.651
_cell_length_c 4.651
_cell_angle_alpha 120.00
_cell_angle_beta 90.00
_cell_angle_gamma 90.00
loop_
_atom_site_label
_atom_site_type_symbol
_atom_site_fract_x
_atom_site_fract_y
_atom_site_fract_z
Rh1 Rh 0.167 0.000 0.000
Sn1 Sn 0.167 0.333 0.667
Er1 Er 0.667 0.667 0.333
# DOS(E_F): 2.020 states/eV/cell
# energy of formation: -0.761 eV/atom
# E: -6.0663 eV/atom


[2]
# Er5SnRh2, relaxed, DFT PBE-GGA
data_Er5SnRh2
_symmetry_space_group_name_H-M 'P 1'
_symmetry_Int_Tables_number 1
_symmetry_space_group_name_Hall 'P 1'
_cell_length_a 7.706
_cell_length_b 7.706
_cell_length_c 8.600
_cell_angle_alpha 116.62
_cell_angle_beta 116.62
_cell_angle_gamma 90.00
loop_
_atom_site_label
_atom_site_type_symbol
_atom_site_fract_x
_atom_site_fract_y
_atom_site_fract_z
Er1 Er 0.522 0.706 0.728
Er2 Er 0.794 0.978 0.272
Er3 Er 0.000 0.000 0.000
Er4 Er 0.500 0.500 0.000
Er5 Er 0.206 0.022 0.728
Er6 Er 0.706 0.206 0.728
Er7 Er 0.022 0.522 0.728
Er8 Er 0.294 0.794 0.272
Er9 Er 0.978 0.478 0.272
Er10 Er 0.478 0.294 0.272
Sn1 Sn 0.750 0.750 0.500
Sn2 Sn 0.250 0.250 0.500
Rh1 Rh 0.139 0.361 0.000
Rh2 Rh 0.639 0.139 0.000
Rh3 Rh 0.361 0.861 0.000
Rh4 Rh 0.861 0.639 0.000
# DOS(E_F): 15.202 states/eV/cell
# energy of formation: -0.735 eV/atom
# E: -5.9248 eV/atom


[3]
# Er2Sn3Rh4, relaxed, DFT PBE-GGA
data_Er2Sn3Rh4
_symmetry_space_group_name_H-M 'P 1'
_symmetry_Int_Tables_number 1
_symmetry_space_group_name_Hall 'P 1'
_cell_length_a 5.988
_cell_length_b 7.266
_cell_length_c 8.669
_cell_angle_alpha 90.00
_cell_angle_beta 110.20
_cell_angle_gamma 90.00
loop_
_atom_site_label
_atom_site_type_symbol
_atom_site_fract_x
_atom_site_fract_y
_atom_site_fract_z
Er1 Er 0.101 0.583 0.202
Er2 Er 0.899 0.417 0.798
Er3 Er 0.399 0.083 0.798
Er4 Er 0.601 0.917 0.202
Sn1 Sn 0.000 0.000 0.000
Sn2 Sn 0.500 0.500 0.000
Sn3 Sn 0.515 0.750 0.530
Sn4 Sn 0.985 0.250 0.470
Sn5 Sn 0.485 0.250 0.470
Sn6 Sn 0.015 0.750 0.530
Rh1 Rh 0.679 0.750 0.859
Rh2 Rh 0.821 0.250 0.141
Rh3 Rh 0.321 0.250 0.141
Rh4 Rh 0.179 0.750 0.859
Rh5 Rh 0.168 0.970 0.336
Rh6 Rh 0.832 0.030 0.664
Rh7 Rh 0.332 0.470 0.664
Rh8 Rh 0.668 0.530 0.336
# DOS(E_F): 11.770 states/eV/cell
# energy of formation: -0.744 eV/atom
# E: -6.3595 eV/atom